Entry 1:
First-principles (PBE) data for a relaxed structure of CrCd2Ru, as listed in Alexandria.

The formation energy comes out at 1.898 eV per formula unit. As for the energy above the most stable polymorph in this dataset: 313 meV per atom.

Unit cell a=2.8824 b=4.7619 c=5.1493 alpha=90.00 beta=97.67 gamma=90.00
Atoms (fractional coordinates):
Cr1 0.0000 0.0000 0.0000
Cd1 0.2551 0.5000 0.7464
Cd2 0.7449 0.5000 0.2536
Ru1 0.5000 0.0000 0.5000

***

Entry 2:
First-principles (PBE) data for a relaxed structure of Rb3Th3Te8Rh, as listed in Alexandria.

Its formation energy without anion corrections is -14.88 eV per formula unit.

Unit cell a=8.8633 b=8.8633 c=10.2489 alpha=115.64 beta=115.64 gamma=59.96
Atoms (fractional coordinates):
Rb1 0.0000 0.0000 0.0000
Rb2 0.0000 0.5000 0.0000
Rb3 0.5000 0.0000 0.0000
Th1 0.0000 0.5000 0.5000
Th2 0.5000 0.0000 0.5000
Th3 0.5000 0.5000 0.5000
Te1 0.2127 0.2127 0.6845
Te2 0.2128 0.7590 0.6847
Te3 0.2410 0.7872 0.3153
Te4 0.2624 0.2624 0.2871
Te5 0.7376 0.7376 0.7129
Te6 0.7590 0.2128 0.6847
Te7 0.7872 0.2410 0.3153
Te8 0.7873 0.7873 0.3155
Rh1 0.0000 0.0000 0.5000

***

Entry 3:
First-principles (PBE) data for a relaxed structure of Pa8Ge3Te5, as listed in Alexandria.

Its formation energy without anion corrections is -9.35 eV per formula unit.

Unit cell a=8.6488 b=8.6488 c=8.6488 alpha=58.23 beta=58.23 gamma=58.23
Atoms (fractional coordinates):
Pa1 0.2302 0.7501 0.7501
Pa2 0.2405 0.2405 0.2405
Pa3 0.2499 0.2499 0.7698
Pa4 0.2499 0.7698 0.2499
Pa5 0.7501 0.2302 0.7501
Pa6 0.7501 0.7501 0.2302
Pa7 0.7595 0.7595 0.7595
Pa8 0.7698 0.2499 0.2499
Ge1 0.0000 0.0000 0.5000
Ge2 0.0000 0.5000 0.0000
Ge3 0.5000 0.0000 0.0000
Te1 0.0000 0.0000 0.0000
Te2 0.0000 0.5000 0.5000
Te3 0.5000 0.0000 0.5000
Te4 0.5000 0.5000 0.0000
Te5 0.5000 0.5000 0.5000

***

Entry 4:
First-principles (PBE) data for a relaxed structure of Li6AcZn6, as listed in Alexandria.

The formation energy comes out at -2.413 eV per formula unit. As for the energy above the most stable polymorph in this dataset: 0 meV per atom.

Unit cell a=7.1649 b=7.1649 c=7.1649 alpha=137.18 beta=98.55 gamma=96.77
Atoms (fractional coordinates):
Li1 0.1408 0.5000 0.6408
Li2 0.1509 0.1509 0.0000
Li3 0.2799 0.0000 0.2799
Li4 0.7201 0.0000 0.7201
Li5 0.8491 0.8491 0.0000
Li6 0.8592 0.5000 0.3592
Ac1 0.5000 0.5000 0.0000
Zn1 0.0000 0.0000 0.5000
Zn2 0.0000 0.5000 0.0000
Zn3 0.2748 0.7748 0.5000
Zn4 0.5000 0.0000 0.0000
Zn5 0.5000 0.5000 0.5000
Zn6 0.7252 0.2252 0.5000

***

Entry 5:
First-principles (PBE) data for a relaxed structure of KHfCl2, as listed in Alexandria.

As for the energy above the most stable polymorph in this dataset: 378 meV per atom. Its formation energy without anion corrections is -2.36 eV per formula unit.

Unit cell a=8.8100 b=8.8100 c=8.8100 alpha=141.86 beta=141.86 gamma=55.04
Atoms (fractional coordinates):
K1 0.0000 0.0000 0.0000
K2 0.7500 0.2500 0.5000
Hf1 0.2500 0.7500 0.5000
Hf2 0.5000 0.5000 0.0000
Cl1 0.2456 0.6250 0.1206
Cl2 0.3750 0.4956 0.6206
Cl3 0.5044 0.1250 0.8794
Cl4 0.8750 0.7544 0.3794

***

Entry 6:
First-principles (PBE) data for a relaxed structure of Al6Zn5, as listed in Alexandria.

The formation energy comes out at 1.483 eV per formula unit.

Unit cell a=5.9559 b=5.9559 c=6.1725 alpha=99.73 beta=99.73 gamma=113.42
Atoms (fractional coordinates):
Al1 0.0405 0.3174 0.6880
Al2 0.1567 0.1567 0.2254
Al3 0.3174 0.0405 0.6880
Al4 0.6826 0.9595 0.3120
Al5 0.8433 0.8433 0.7746
Al6 0.9595 0.6826 0.3120
Zn1 0.2348 0.7652 0.0000
Zn2 0.3686 0.6314 0.5000
Zn3 0.5000 0.5000 0.0000
Zn4 0.6314 0.3686 0.5000
Zn5 0.7652 0.2348 0.0000

***

Entry 7:
First-principles (PBE) data for a relaxed structure of CoTcOs2, as listed in Alexandria.

The formation energy comes out at 1.858 eV per formula unit. As for the energy above the most stable polymorph in this dataset: 364 meV per atom.

Unit cell a=2.7798 b=4.4619 c=4.4941 alpha=90.00 beta=90.00 gamma=90.00
Atoms (fractional coordinates):
Co1 0.0000 0.0000 0.0000
Tc1 0.5000 0.0000 0.5000
Os1 0.0000 0.5000 0.5000
Os2 0.5000 0.5000 0.0000

***

Entry 8:
First-principles (PBE) data for a relaxed structure of KCo2PPb, as listed in Alexandria.

The formation energy comes out at 7.490 eV per formula unit.

Unit cell a=4.9036 b=4.9036 c=6.0503 alpha=90.00 beta=90.00 gamma=90.00
Atoms (fractional coordinates):
K1 0.0000 0.0000 0.0000
Co1 0.0000 0.5000 0.5000
Co2 0.5000 0.0000 0.5000
P1 0.5000 0.5000 0.0000
Pb1 0.0000 0.0000 0.5000

***

Entry 9:
First-principles (PBE) data for a relaxed structure of SrTl6Ag, as listed in Alexandria.

The formation energy comes out at -0.656 eV per formula unit.

Unit cell a=5.0889 b=7.0126 c=7.0126 alpha=70.41 beta=90.00 gamma=90.00
Atoms (fractional coordinates):
Sr1 0.0000 0.0000 0.0000
Tl1 0.0000 0.0269 0.4977
Tl2 0.0000 0.4977 0.0269
Tl3 0.5000 0.2117 0.2117
Tl4 0.5000 0.2883 0.6911
Tl5 0.5000 0.6911 0.2883
Tl6 0.5000 0.7558 0.7558
Ag1 0.0000 0.5179 0.5179

***

Entry 10:
First-principles (PBE) data for a relaxed structure of NaPtPb3, as listed in Alexandria.

The formation energy comes out at 0.398 eV per formula unit. As for the energy above the most stable polymorph in this dataset: 274 meV per atom.

Unit cell a=5.4883 b=5.4883 c=5.4883 alpha=90.00 beta=90.00 gamma=90.00
Atoms (fractional coordinates):
Na1 0.0000 0.0000 0.0000
Pt1 0.5000 0.5000 0.5000
Pb1 0.0000 0.5000 0.5000
Pb2 0.5000 0.0000 0.5000
Pb3 0.5000 0.5000 0.0000

***

Entry 11:
First-principles (PBE) data for a relaxed structure of TbCu4Ni2, as listed in Alexandria.

The formation energy comes out at -1.218 eV per formula unit. As for the energy above the most stable polymorph in this dataset: 0 meV per atom.

Unit cell a=5.0661 b=5.0661 c=4.8562 alpha=118.47 beta=118.47 gamma=77.02
Atoms (fractional coordinates):
Tb1 0.0000 0.0000 0.0000
Cu1 0.0003 0.3882 0.6942
Cu2 0.9997 0.6118 0.3058
Cu3 0.3882 0.0003 0.6942
Cu4 0.6118 0.9997 0.3058
Ni1 0.4999 0.4999 0.2502
Ni2 0.5001 0.5001 0.7498

***

Entry 12:
First-principles (PBE) data for a relaxed structure of YTm2CdC, as listed in Alexandria.

The formation energy comes out at -1.728 eV per formula unit.

Unit cell a=4.8362 b=4.8362 c=4.9728 alpha=90.00 beta=90.00 gamma=90.00
Atoms (fractional coordinates):
Y1 0.0000 0.0000 0.0000
Tm1 0.0000 0.5000 0.5000
Tm2 0.5000 0.0000 0.5000
Cd1 0.5000 0.5000 0.0000
C1 0.0000 0.0000 0.5000

***

Entry 13:
First-principles (PBE) data for a relaxed structure of Y2Zn12Cu3Ag, as listed in Alexandria.

The formation energy comes out at -0.398 eV per formula unit.

Unit cell a=6.7568 b=6.7568 c=6.7568 alpha=85.84 beta=85.84 gamma=85.84
Atoms (fractional coordinates):
Y1 0.2493 0.2493 0.2493
Y2 0.7507 0.7507 0.7507
Zn1 0.0712 0.0712 0.6547
Zn2 0.0712 0.6547 0.0712
Zn3 0.2119 0.6991 0.6991
Zn4 0.3009 0.3009 0.7881
Zn5 0.3009 0.7881 0.3009
Zn6 0.3453 0.9288 0.9288
Zn7 0.6547 0.0712 0.0712
Zn8 0.6991 0.2119 0.6991
Zn9 0.6991 0.6991 0.2119
Zn10 0.7881 0.3009 0.3009
Zn11 0.9288 0.3453 0.9288
Zn12 0.9288 0.9288 0.3453
Cu1 0.0000 0.5000 0.5000
Cu2 0.5000 0.0000 0.5000
Cu3 0.5000 0.5000 0.0000
Ag1 0.5000 0.5000 0.5000

***

Entry 14:
First-principles (PBE) data for a relaxed structure of BN, as listed in Alexandria.

As for the energy above the most stable polymorph in this dataset: 501 meV per atom. Its formation energy without anion corrections is -1.57 eV per formula unit.

Unit cell a=4.6170 b=4.6771 c=5.1602 alpha=90.00 beta=90.00 gamma=90.00
Atoms (fractional coordinates):
B1 0.1393 0.0652 0.2389
B2 0.1634 0.6052 0.9726
B3 0.3366 0.3948 0.4726
B4 0.3607 0.9348 0.7389
B5 0.6393 0.4348 0.7611
B6 0.6634 0.8948 0.0274
B7 0.8366 0.1052 0.5274
B8 0.8607 0.5652 0.2611
N1 0.1639 0.4130 0.2161
N2 0.1926 0.1044 0.5426
N3 0.3074 0.8956 0.0426
N4 0.3361 0.5870 0.7161
N5 0.6639 0.0870 0.7839
N6 0.6926 0.3956 0.4574
N7 0.8074 0.6044 0.9574
N8 0.8361 0.9130 0.2839

***

Entry 15:
First-principles (PBE) data for a relaxed structure of Cs3Na13, as listed in Alexandria.

The formation energy comes out at 0.969 eV per formula unit.

Unit cell a=8.6461 b=9.5270 c=9.5270 alpha=87.84 beta=90.00 gamma=90.00
Atoms (fractional coordinates):
Cs1 0.0000 0.0000 0.0000
Cs2 0.2542 0.2925 0.2925
Cs3 0.7458 0.2925 0.2925
Na1 0.0000 0.5532 0.9873
Na2 0.0000 0.5663 0.5663
Na3 0.0000 0.9873 0.5532
Na4 0.2687 0.7541 0.7541
Na5 0.2744 0.3224 0.7857
Na6 0.2744 0.7857 0.3224
Na7 0.5000 0.0263 0.6008
Na8 0.5000 0.5527 0.5527
Na9 0.5000 0.6008 0.0263
Na10 0.5000 0.9970 0.9970
Na11 0.7256 0.3224 0.7857
Na12 0.7256 0.7857 0.3224
Na13 0.7313 0.7541 0.7541

***

Entry 16:
First-principles (PBE) data for a relaxed structure of LaCoPt2, as listed in Alexandria.

The formation energy comes out at -1.261 eV per formula unit.

Unit cell a=8.8270 b=8.8270 c=8.8270 alpha=148.46 beta=148.46 gamma=45.21
Atoms (fractional coordinates):
La1 0.0000 0.0000 0.0000
La2 0.7500 0.2500 0.5000
Co1 0.2500 0.7500 0.5000
Co2 0.5000 0.5000 0.0000
Pt1 0.2792 0.6250 0.1542
Pt2 0.3750 0.5292 0.6542
Pt3 0.4708 0.1250 0.8458
Pt4 0.8750 0.7208 0.3458

***

Entry 17:
First-principles (PBE) data for a relaxed structure of La3ZnGe, as listed in Alexandria.

The formation energy comes out at -2.184 eV per formula unit. As for the energy above the most stable polymorph in this dataset: 0 meV per atom.

Unit cell a=4.2305 b=7.7954 c=9.0872 alpha=85.99 beta=86.54 gamma=78.77
Atoms (fractional coordinates):
La1 0.0299 0.4073 0.1668
La2 0.2279 0.0203 0.8247
La3 0.3320 0.6804 0.4186
La4 0.6680 0.3196 0.5814
La5 0.7721 0.9797 0.1753
La6 0.9701 0.5927 0.8332
Zn1 0.2438 0.0856 0.4315
Zn2 0.7562 0.9144 0.5685
Ge1 0.3982 0.7155 0.0712
Ge2 0.6018 0.2845 0.9288

***

Entry 18:
First-principles (PBE) data for a relaxed structure of TcBiSCl2, as listed in Alexandria.

As for the energy above the most stable polymorph in this dataset: 0 meV per atom. Its formation energy without anion corrections is 0.44 eV per formula unit.

Unit cell a=4.8988 b=4.8988 c=4.5840 alpha=90.00 beta=90.00 gamma=90.00
Atoms (fractional coordinates):
Tc1 0.0000 0.0000 0.0000
Bi1 0.5000 0.5000 0.5000
S1 0.0000 0.0000 0.5000
Cl1 0.0000 0.5000 0.0000
Cl2 0.5000 0.0000 0.0000

***

Entry 19:
First-principles (PBE) data for a relaxed structure of FePI3, as listed in Alexandria.

As for the energy above the most stable polymorph in this dataset: 79 meV per atom. Its formation energy without anion corrections is 4.41 eV per formula unit.

Unit cell a=5.1575 b=5.1575 c=5.1575 alpha=90.00 beta=90.00 gamma=90.00
Atoms (fractional coordinates):
Fe1 0.0000 0.0000 0.0000
P1 0.5000 0.5000 0.5000
I1 0.0000 0.0000 0.5000
I2 0.0000 0.5000 0.0000
I3 0.5000 0.0000 0.0000

***

Entry 20:
First-principles (PBE) data for a relaxed structure of Mn2CrH, as listed in Alexandria.

As for the energy above the most stable polymorph in this dataset: 321 meV per atom.

Unit cell a=6.9151 b=6.9151 c=6.9151 alpha=21.14 beta=21.14 gamma=21.14
Atoms (fractional coordinates):
Mn1 0.1083 0.1083 0.1083
Mn2 0.8917 0.8917 0.8917
Cr1 0.0000 0.0000 0.0000
H1 0.5000 0.5000 0.5000

***

Entry 21:
First-principles (PBE) data for a relaxed structure of LiHfSe2, as listed in Alexandria.

Its formation energy without anion corrections is -3.79 eV per formula unit.

Unit cell a=4.1326 b=4.1326 c=7.0639 alpha=90.06 beta=90.06 gamma=60.01
Atoms (fractional coordinates):
Li1 0.0000 0.0000 0.0000
Hf1 0.3341 0.3341 0.4453
Se1 0.0009 0.0009 0.6043
Se2 0.3334 0.3334 0.0946

***

Entry 22:
First-principles (PBE) data for a relaxed structure of MgRuSeBr2, as listed in Alexandria.

As for the energy above the most stable polymorph in this dataset: 0 meV per atom. Its formation energy without anion corrections is 0.01 eV per formula unit.

Unit cell a=5.1781 b=5.1781 c=4.7542 alpha=90.00 beta=90.00 gamma=90.00
Atoms (fractional coordinates):
Mg1 0.0000 0.0000 0.0000
Ru1 0.5000 0.5000 0.5000
Se1 0.5000 0.5000 0.0000
Br1 0.0000 0.5000 0.5000
Br2 0.5000 0.0000 0.5000

***

Entry 23:
First-principles (PBE) data for a relaxed structure of ZnHRh2, as listed in Alexandria.

As for the energy above the most stable polymorph in this dataset: 8 meV per atom.

Unit cell a=6.7672 b=6.7672 c=6.7672 alpha=23.90 beta=23.90 gamma=23.90
Atoms (fractional coordinates):
Zn1 0.0000 0.0000 0.0000
H1 0.5000 0.5000 0.5000
Rh1 0.2271 0.2271 0.2271
Rh2 0.7729 0.7729 0.7729